1.
KTl3 | GGA-PBEsol | relaxed

## Properties
The theoretical density comes out at 8878 kg/m3. The crystal system is orthorhombic. The value obtained for the energy of formation is -0.042 eV per atom. For the density of states at the Fermi level, the calculation gives 13.5 states/eV per cell.

Structure (CIF):
```
data_KTl3
_cell_length_a 7.003
_cell_length_b 16.425
_cell_length_c 6.363
_cell_angle_alpha 90.00
_cell_angle_beta 90.00
_cell_angle_gamma 90.00
_symmetry_space_group_name_H-M 'P m m n'
_symmetry_Int_Tables_number 59
loop_
_symmetry_equiv_pos_as_xyz
'x,y,z'
'-x,-y,-z'
'-x+1/2,-y+1/2,z'
'x+1/2,y+1/2,-z'
'x+1/2,-y,-z'
'-x+1/2,y,z'
'-x,y+1/2,-z'
'x,-y+1/2,z'
loop_
_atom_site_label
_atom_site_fract_x
_atom_site_fract_y
_atom_site_fract_z
_atom_site_occupancy
K1 0.250 0.101 0.187 1
K2 0.250 0.750 0.550 1
Tl1 0.004 0.579 0.327 1
Tl2 0.027 0.750 0.042 1
Tl3 0.250 0.250 0.569 1
Tl4 0.250 0.574 0.865 1
```

***

2.
Li2P2WO8 | GGA-PBEsol | relaxed

## Properties
The theoretical density comes out at 4205 kg/m3. The crystal system is monoclinic. Its energy above the lowest structure with this stoichiometry is 0 meV per atom. For the density of states at the Fermi level, the calculation gives 5.9 states/eV per cell.

Structure (CIF):
```
data_Li2P2WO8
_cell_length_a 5.101
_cell_length_b 7.881
_cell_length_c 8.964
_cell_angle_alpha 90.00
_cell_angle_beta 121.82
_cell_angle_gamma 90.00
_symmetry_space_group_name_H-M 'P 1 21/c 1'
_symmetry_Int_Tables_number 14
_symmetry_space_group_name_Hall '-P 2ybc'
loop_
_atom_site_label
_atom_site_fract_x
_atom_site_fract_y
_atom_site_fract_z
_atom_site_occupancy
Li1 0.011 0.130 0.411 1
P1 0.336 0.194 0.799 1
W1 0.000 0.000 0.000 1
O1 0.204 0.070 0.651 1
O2 0.207 0.122 0.236 1
O3 0.255 0.154 0.940 1
O4 0.302 0.695 0.603 1
```

***

3.
MoPCCl2 | GGA-PBEsol | relaxed

## Properties
The theoretical density comes out at 3423 kg/m3. The crystal system is tetragonal. Its energy above the lowest structure with this stoichiometry is 0 meV per atom. For the density of states at the Fermi level, the calculation gives 4.7 states/eV per cell.

Structure (CIF):
```
data_MoPCCl2
_cell_length_a 4.647
_cell_length_b 4.647
_cell_length_c 4.714
_cell_angle_alpha 90.00
_cell_angle_beta 90.00
_cell_angle_gamma 90.00
_symmetry_space_group_name_H-M 'P 4/m m m'
_symmetry_Int_Tables_number 123
_symmetry_space_group_name_Hall '-P 4 2'
loop_
_atom_site_label
_atom_site_fract_x
_atom_site_fract_y
_atom_site_fract_z
_atom_site_occupancy
Mo1 0.000 0.000 0.000 1
P1 0.000 0.000 0.500 1
C1 0.500 0.500 0.500 1
Cl1 0.000 0.500 0.000 1
```

***

4.
Re2TcAg | GGA-PBEsol | relaxed

## Properties
The theoretical density comes out at 15790 kg/m3. The crystal system is tetragonal. Its energy above the lowest structure with this stoichiometry is 257 meV per atom. The value obtained for the energy of formation is 0.663 eV per atom. For the density of states at the Fermi level, the calculation gives 4.2 states/eV per cell.

Structure (CIF):
```
data_Re2TcAg
_cell_length_a 3.270
_cell_length_b 3.270
_cell_length_c 5.687
_cell_angle_alpha 90.00
_cell_angle_beta 90.00
_cell_angle_gamma 90.00
_symmetry_space_group_name_H-M 'P 4/m m m'
_symmetry_Int_Tables_number 123
_symmetry_space_group_name_Hall '-P 4 2'
loop_
_atom_site_label
_atom_site_fract_x
_atom_site_fract_y
_atom_site_fract_z
_atom_site_occupancy
Re1 0.000 0.000 0.221 1
Tc1 0.500 0.500 0.000 1
Ag1 0.500 0.500 0.500 1
```

***

5.
YAgHg | GGA-PBEsol | relaxed

## Properties
The theoretical density comes out at 10121 kg/m3. The crystal system is hexagonal. The value obtained for the energy of formation is -0.443 eV per atom. For the density of states at the Fermi level, the calculation gives 1.7 states/eV per cell.

Structure (CIF):
```
data_YAgHg
_cell_length_a 4.7790
_cell_length_b 4.7790
_cell_length_c 3.2963
_cell_angle_alpha 90.00
_cell_angle_beta 90.00
_cell_angle_gamma 120.00
_symmetry_space_group_name_H-M 'P -6 m 2'
_symmetry_Int_Tables_number 187
_symmetry_space_group_name_Hall 'P -6 2'
loop_
_atom_site_label
_atom_site_fract_x
_atom_site_fract_y
_atom_site_fract_z
_atom_site_occupancy
Y1 0.0000 0.0000 0.0000 1
Ag1 0.3333 0.6667 0.5000 1
Hg1 0.6667 0.3333 0.5000 1
```

***

6.
BaCuCl | GGA-PBEsol | relaxed

## Properties
The theoretical density comes out at 3996 kg/m3. The crystal system is cubic. The total energy is -0.264 Ry per atom. For the density of states at the Fermi level, the calculation gives 0.0 states/eV per cell.

Structure (CIF):
```
data_BaCuCl
_cell_length_a 7.324
_cell_length_b 7.324
_cell_length_c 7.324
_cell_angle_alpha 90.00
_cell_angle_beta 90.00
_cell_angle_gamma 90.00
_symmetry_space_group_name_H-M 'F -4 3 m'
_symmetry_Int_Tables_number 216
_symmetry_space_group_name_Hall 'F -4 2 3'
loop_
_atom_site_label
_atom_site_fract_x
_atom_site_fract_y
_atom_site_fract_z
_atom_site_occupancy
Ba1 0.000 0.000 0.000 1
Cu1 0.250 0.250 0.750 1
Cl1 0.250 0.250 0.250 1
```

***

7.
TlZn3Hg | GGA-PBEsol | relaxed

## Properties
The theoretical density comes out at 8254 kg/m3. The crystal system is cubic. The value obtained for the energy of formation is 0.376 eV per atom. For the density of states at the Fermi level, the calculation gives 1.4 states/eV per cell.

Structure (CIF):
```
data_TlZn3Hg
_cell_length_a 4.945
_cell_length_b 4.945
_cell_length_c 4.945
_cell_angle_alpha 90.00
_cell_angle_beta 90.00
_cell_angle_gamma 90.00
_symmetry_space_group_name_H-M 'P m -3 m'
_symmetry_Int_Tables_number 221
_symmetry_space_group_name_Hall '-P 4 2 3'
loop_
_atom_site_label
_atom_site_fract_x
_atom_site_fract_y
_atom_site_fract_z
_atom_site_occupancy
Tl1 0.000 0.000 0.000 1
Zn1 0.000 0.500 0.500 1
Hg1 0.500 0.500 0.500 1
```

***

8.
Be4FeTc | GGA-PBEsol | relaxed

## Properties
The theoretical density comes out at 5900 kg/m3. The crystal system is cubic. The value obtained for the energy of formation is -0.262 eV per atom. For the density of states at the Fermi level, the calculation gives 11.0 states/eV per cell.

Structure (CIF):
```
data_Be4FeTc
_cell_length_a 5.979
_cell_length_b 5.979
_cell_length_c 5.979
_cell_angle_alpha 90.00
_cell_angle_beta 90.00
_cell_angle_gamma 90.00
_symmetry_space_group_name_H-M 'F -4 3 m'
_symmetry_Int_Tables_number 216
_symmetry_space_group_name_Hall 'F -4 2 3'
loop_
_atom_site_label
_atom_site_fract_x
_atom_site_fract_y
_atom_site_fract_z
_atom_site_occupancy
Be1 0.124 0.124 0.124 1
Fe1 0.000 0.000 0.500 1
Tc1 0.250 0.250 0.750 1
```